SrTcGe2: optimized geometry, GGA-PBE.

Cell: 6.750 6.750 6.750 Å, 90.00 90.00 90.00°
Space group Fm-3m (No. 225)
One atom of each set of equivalent atoms:
Sr: 0.000 0.000 0.000 (multiplicity 4)
Tc: 0.000 0.000 0.500 (multiplicity 4)
Ge: 0.250 0.250 0.250 (multiplicity 8)

Calculated values
Relative energy among the computed polymorphs ... 396.7 meV/atom
Energy of formation ... 0.163 eV per atom


Sr2TcGe: optimized geometry, GGA-PBE.

Cell: 11.249 11.249 4.827 Å, 90.00 90.00 90.00°
Space group I-42d (No. 122)
One atom of each set of equivalent atoms:
Sr: 0.063 0.250 0.125 (multiplicity 8)
Tc: 0.000 0.000 0.000 (multiplicity 4)
Ge: 0.000 0.000 0.500 (multiplicity 4)

Calculated values
Energy of formation ... 0.279 eV per atom


SrTcGe2: optimized geometry, GGA-PBE.

Cell: 4.2483 4.2483 16.9234 Å, 90.00 90.00 120.00°
Space group R-3m (No. 166, hexagonal axes)
One atom of each set of equivalent atoms:
Sr: 0.0000 0.0000 0.0000 (multiplicity 3)
Tc: 0.0000 0.0000 0.5000 (multiplicity 3)
Ge: 0.0000 0.0000 0.2119 (multiplicity 6)

Calculated values
Relative energy among the computed polymorphs ... 0.0 meV/atom
Energy of formation ... -0.234 eV per atom


no.,magnetization (μB per formula unit)
1,0.000
2,0.599
3,0.000